Density functional theory data (PBE) for Sc2NbAu after structural relaxation.

Cell: 4.8161 4.8161 4.8161 Å, 60.00 60.00 60.00°
With the nearest neighbours (Å) after each atom.
Element x y z (fractional)
Sc 0.2500 0.2500 0.2500  4 Nb 2.95, 4 Au 2.95
Sc 0.7500 0.7500 0.7500  4 Nb 2.95, 4 Au 2.95
Nb 0.0000 0.0000 0.0000  8 Sc 2.95
Au 0.5000 0.5000 0.5000  8 Sc 2.95

E	-26.61	eV for the cell shown
DFT formation energy	-58	kJ/mol of formula units
symmetry	Fm-3m, No. 225
total moment	1.98	μB/cell
offset from the most stable computed form	173	meV per atom